First-principles (PBE) data for an optimized crystal structure of Cd2GaSn2, as listed in the Alexandria database.

a = 8.5427 Å, b = 8.5427 Å, c = 3.5515 Å
α = 90.00°, β = 90.00°, γ = 90.00°
With the nearest neighbours (Å) after each atom.
Fractional coordinates of all 10 atoms:
1 Sn 0.3280 0.1720 0.5000  6 Cd 3.00-3.14
2 Sn 0.6720 0.8280 0.5000  6 Cd 3.00-3.14
3 Sn 0.1720 0.6720 0.5000  6 Cd 3.00-3.14
4 Sn 0.8280 0.3280 0.5000  6 Cd 3.00-3.14
5 Cd 0.1282 0.3718 0.0000  6 Sn 3.00-3.14, 1 Cd 3.10
6 Cd 0.3718 0.8718 0.0000  6 Sn 3.00-3.14, 1 Cd 3.10
7 Cd 0.6282 0.1282 0.0000  6 Sn 3.00-3.14, 1 Cd 3.10
8 Cd 0.8718 0.6282 0.0000  6 Sn 3.00-3.14, 1 Cd 3.10
9 Ga 0.0000 0.0000 0.0000  4 Cd 3.36, 2 Ga 3.55, 8 Sn 3.63
10 Ga 0.5000 0.5000 0.0000  4 Cd 3.36, 2 Ga 3.55, 8 Sn 3.63

The calculated formation energy is 0.1557 eV/atom.

First-principles (PBE) data for an optimized crystal structure of LaTc2Rh, as listed in the Alexandria database.

a = 4.9906 Å, b = 4.0513 Å, c = 4.1985 Å
α = 75.22°, β = 90.00°, γ = 90.00°
With the nearest neighbours (Å) after each atom.
Fractional coordinates of all 4 atoms:
1 Tc 0.0000 0.5567 0.5812  2 Tc 2.37-2.53
2 Tc 0.0000 0.9433 0.9188  2 Tc 2.37-2.53
3 Rh 0.5000 0.7500 0.7500  2 La 2.52, 4 Tc 2.76
4 La 0.5000 0.2500 0.2500  2 Rh 2.52

The calculated formation energy is 0.2431 eV/atom.

First-principles (PBE) data for an optimized crystal structure of TaInCo, as listed in the Alexandria database.

a = 5.8826 Å, b = 5.8826 Å, c = 5.8826 Å
α = 150.30°, β = 150.31°, γ = 42.50°
With the nearest neighbours (Å) after each atom.
Fractional coordinates of all 3 atoms:
1 Co 0.0138 0.0138 0.0000  4 Ta 2.55, 4 In 2.82
2 In 0.3453 0.3453 0.0000  4 Co 2.82, 4 In 3.01-3.02, 4 Ta 3.09
3 Ta 0.6410 0.6410 0.0000  4 Co 2.55

The calculated formation energy is 0.0198 eV/atom.

First-principles (PBE) data for an optimized crystal structure of CsSeBr3, as listed in the Alexandria database.

a = 8.7800 Å, b = 8.7800 Å, c = 8.7800 Å
α = 54.69°, β = 54.69°, γ = 54.69°
With the nearest neighbours (Å) after each atom.
Fractional coordinates of all 10 atoms:
1 Se 0.9153 0.9153 0.9153  3 Br 2.53
2 Se 0.0847 0.0847 0.0847  3 Br 2.53
3 Cs 0.2632 0.2632 0.2632  9 Br 3.96-4.14, 1 Se 3.99
4 Cs 0.7368 0.7368 0.7368  9 Br 3.96-4.14, 1 Se 3.99
5 Br 0.2786 0.7240 0.7457  1 Se 2.53
6 Br 0.7240 0.7457 0.2786  1 Se 2.53
7 Br 0.2760 0.2543 0.7214  1 Se 2.53
8 Br 0.7457 0.2786 0.7240  1 Se 2.53
9 Br 0.7214 0.2760 0.2543  1 Se 2.53
10 Br 0.2543 0.7214 0.2760  1 Se 2.53

The value obtained for the formation energy without anion corrections is -3.62 eV/f.u.

Which formula does entry 4 have? CsSeBr3

Number 2 is which compound? LaTc2Rh